The following is a PBE-GGA calculation of YMgAl after structural relaxation, from Alexandria.

Properties
Formation energy in meV/atom: -254
Electronic total energy in eV per atom: -4.1877
D(E_F) in states/eV per atom: 0.7500
Relative energy among the computed polymorphs in eV per atom: 0.0822

Unit cell a=10.927 b=4.801 c=7.037 alpha=90.00 beta=129.95 gamma=90.00
Space group C2/m (No. 12)
One atom of each set of equivalent atoms:
Y  0.003  0.000  0.255 x4
Mg  0.172  0.500  0.166 x4
Al  0.159  0.500  0.661 x4